This record from the Alexandria database describes a relaxed structure of ZrTl2SnB. The functional is PBE.

Results
ρ: 9.17 g/cm³
calculated formation energy: 0.427 eV/atom

The structure in CIF format:
```
data_ZrTl2SnB
_chemical_formula_sum 'Zr1 Tl2 Sn1 B1'
_cell_length_a 4.887
_cell_length_b 4.887
_cell_length_c 4.771
_cell_angle_alpha 90.00
_cell_angle_beta 90.00
_cell_angle_gamma 90.00
_symmetry_space_group_name_H-M 'P 4/m m m'
_symmetry_Int_Tables_number 123
_symmetry_space_group_name_Hall '-P 4 2'
loop_
_atom_site_label
_atom_site_type_symbol
_atom_site_fract_x
_atom_site_fract_y
_atom_site_fract_z
Zr1 Zr 0.000 0.000 0.000
Tl1 Tl 0.000 0.500 0.500
Sn1 Sn 0.500 0.500 0.000
B1 B 0.000 0.000 0.500
```


This record from the Alexandria database describes a relaxed structure of USnB. The functional is PBE.

Results
ρ: 9.55 g/cm³
calculated formation energy: 0.500 eV/atom

The structure in CIF format:
```
data_USnB
_chemical_formula_sum 'U4 Sn4 B4'
_cell_length_a 3.230
_cell_length_b 3.230
_cell_length_c 24.511
_cell_angle_alpha 90.00
_cell_angle_beta 90.00
_cell_angle_gamma 90.00
_symmetry_space_group_name_H-M 'I 4/m m m'
_symmetry_Int_Tables_number 139
_symmetry_space_group_name_Hall '-I 4 2'
loop_
_atom_site_label
_atom_site_type_symbol
_atom_site_fract_x
_atom_site_fract_y
_atom_site_fract_z
U1 U 0.000 0.000 0.053
Sn1 Sn 0.000 0.000 0.322
B1 B 0.000 0.000 0.416
```


This record from the Alexandria database describes a relaxed structure of VSnB2. The functional is PBE.

Results
ρ: 5.17 g/cm³
calculated formation energy: 0.890 eV/atom

The structure in CIF format:
```
data_VSnB2
_chemical_formula_sum 'V4 Sn4 B8'
_cell_length_a 5.486
_cell_length_b 5.486
_cell_length_c 8.156
_cell_angle_alpha 90.00
_cell_angle_beta 90.00
_cell_angle_gamma 90.00
_symmetry_space_group_name_H-M 'I -4 2 d'
_symmetry_Int_Tables_number 122
_symmetry_space_group_name_Hall 'I -4 2bw'
loop_
_atom_site_label
_atom_site_type_symbol
_atom_site_fract_x
_atom_site_fract_y
_atom_site_fract_z
V1 V 0.000 0.000 0.000
Sn1 Sn 0.000 0.000 0.500
B1 B 0.218 0.250 0.125
```


This record from the Alexandria database describes a relaxed structure of VSn3B. The functional is PBE.

Results
ρ: 6.37 g/cm³
calculated formation energy: 0.894 eV/atom

The structure in CIF format:
```
data_VSn3B
_chemical_formula_sum 'V1 Sn3 B1'
_cell_length_a 4.776
_cell_length_b 4.776
_cell_length_c 4.776
_cell_angle_alpha 90.00
_cell_angle_beta 90.00
_cell_angle_gamma 90.00
_symmetry_space_group_name_H-M 'P m -3 m'
_symmetry_Int_Tables_number 221
_symmetry_space_group_name_Hall '-P 4 2 3'
loop_
_atom_site_label
_atom_site_type_symbol
_atom_site_fract_x
_atom_site_fract_y
_atom_site_fract_z
V1 V 0.000 0.000 0.000
Sn1 Sn 0.000 0.500 0.500
B1 B 0.500 0.500 0.500
```


This record from the Alexandria database describes a relaxed structure of V2SnB. The functional is PBE.

Results
ρ: 6.93 g/cm³
calculated formation energy: 0.687 eV/atom

The structure in CIF format:
```
data_V2SnB
_chemical_formula_sum 'V8 Sn4 B4'
_cell_length_a 6.054
_cell_length_b 6.054
_cell_length_c 6.054
_cell_angle_alpha 90.00
_cell_angle_beta 90.00
_cell_angle_gamma 90.00
_symmetry_space_group_name_H-M 'F m -3 m'
_symmetry_Int_Tables_number 225
_symmetry_space_group_name_Hall '-F 4 2 3'
loop_
_atom_site_label
_atom_site_type_symbol
_atom_site_fract_x
_atom_site_fract_y
_atom_site_fract_z
V1 V 0.250 0.250 0.250
Sn1 Sn 0.000 0.000 0.000
B1 B 0.000 0.000 0.500
```


This record from the Alexandria database describes a relaxed structure of VSn3B. The functional is PBE.

Results
ρ: 5.17 g/cm³
calculated formation energy: 1.123 eV/atom

The structure in CIF format:
```
data_VSn3B
_chemical_formula_sum 'V1 Sn3 B1'
_cell_length_a 5.119
_cell_length_b 5.119
_cell_length_c 5.119
_cell_angle_alpha 90.00
_cell_angle_beta 90.00
_cell_angle_gamma 90.00
_symmetry_space_group_name_H-M 'P m -3 m'
_symmetry_Int_Tables_number 221
_symmetry_space_group_name_Hall '-P 4 2 3'
loop_
_atom_site_label
_atom_site_type_symbol
_atom_site_fract_x
_atom_site_fract_y
_atom_site_fract_z
V1 V 0.000 0.000 0.000
Sn1 Sn 0.000 0.000 0.500
B1 B 0.500 0.500 0.500
```


This record from the Alexandria database describes a relaxed structure of V2SnB. The functional is PBE.

Results
ρ: 5.83 g/cm³
calculated formation energy: 0.083 eV/atom

The structure in CIF format:
```
data_V2SnB
_chemical_formula_sum 'V6 Sn3 B3'
_cell_length_a 3.2006
_cell_length_b 3.2006
_cell_length_c 22.2994
_cell_angle_alpha 90.00
_cell_angle_beta 90.00
_cell_angle_gamma 120.00
_symmetry_space_group_name_H-M 'R -3 m'
_symmetry_Int_Tables_number 166
_symmetry_space_group_name_Hall '-R 3 2"'
loop_
_atom_site_label
_atom_site_type_symbol
_atom_site_fract_x
_atom_site_fract_y
_atom_site_fract_z
V1 V 0.0000 0.0000 0.1223
Sn1 Sn 0.0000 0.0000 0.0000
B1 B 0.0000 0.0000 0.5000
```


This record from the Alexandria database describes a relaxed structure of V2SnB. The functional is PBE.

Results
ρ: 6.71 g/cm³
calculated formation energy: 0.304 eV/atom

The structure in CIF format:
```
data_V2SnB
_chemical_formula_sum 'V8 Sn4 B4'
_cell_length_a 6.623
_cell_length_b 6.623
_cell_length_c 5.225
_cell_angle_alpha 90.00
_cell_angle_beta 90.00
_cell_angle_gamma 90.00
_symmetry_space_group_name_H-M 'I -4 2 d'
_symmetry_Int_Tables_number 122
_symmetry_space_group_name_Hall 'I -4 2bw'
loop_
_atom_site_label
_atom_site_type_symbol
_atom_site_fract_x
_atom_site_fract_y
_atom_site_fract_z
V1 V 0.183 0.750 0.125
Sn1 Sn 0.000 0.000 0.500
B1 B 0.000 0.000 0.000
```